# 1
# Ir2RuPt | Alexandria via LeMat-Bulk | meta-GGA SCAN | single point on PBEsol structure
data_Ir2RuPt
_cell_length_a 3.822
_cell_length_b 3.822
_cell_length_c 7.695
_cell_angle_alpha 90.00
_cell_angle_beta 90.00
_cell_angle_gamma 90.00
_symmetry_space_group_name_H-M 'I -4 m 2'
_symmetry_Int_Tables_number 119
_symmetry_space_group_name_Hall 'I -4 -2'
loop_
_atom_site_label
_atom_site_fract_x
_atom_site_fract_y
_atom_site_fract_z
Ir1 0.000 0.000 0.000
Ir2 0.000 0.500 0.250
Ru1 0.000 0.000 0.500
Pt1 0.000 0.500 0.750
# DFT formation energy: 0.021 eV/atom
# N(E_F): 7.48 states/eV per cell
# calculated volume: 14.05 A^3/atom



# 2
# LaY2Re | Alexandria via LeMat-Bulk | meta-GGA SCAN | single point on PBEsol structure
data_LaY2Re
_cell_length_a 11.980
_cell_length_b 3.597
_cell_length_c 5.322
_cell_angle_alpha 90.00
_cell_angle_beta 116.34
_cell_angle_gamma 90.00
_symmetry_space_group_name_H-M 'C 1 m 1'
_symmetry_Int_Tables_number 8
_symmetry_space_group_name_Hall 'C -2y'
loop_
_atom_site_label
_atom_site_fract_x
_atom_site_fract_y
_atom_site_fract_z
La1 0.000 0.000 0.000
Y1 0.201 0.000 0.701
Y2 0.401 0.000 0.401
Re1 0.196 0.500 0.198
# DFT formation energy: 0.175 eV/atom
# N(E_F): 8.91 states/eV per cell
# calculated volume: 25.69 A^3/atom



# 3
# Al3Zn4 | Alexandria via LeMat-Bulk | meta-GGA SCAN | single point on PBEsol structure
data_Al3Zn4
_cell_length_a 3.504
_cell_length_b 3.504
_cell_length_c 17.877
_cell_angle_alpha 90.00
_cell_angle_beta 90.00
_cell_angle_gamma 90.00
_symmetry_space_group_name_H-M 'I 4/m m m'
_symmetry_Int_Tables_number 139
_symmetry_space_group_name_Hall '-I 4 2'
loop_
_atom_site_label
_atom_site_fract_x
_atom_site_fract_y
_atom_site_fract_z
Al1 0.000 0.000 0.000
Al2 0.000 0.000 0.287
Zn1 0.000 0.000 0.142
Zn2 0.000 0.000 0.429
# DFT formation energy: 0.053 eV/atom
# N(E_F): 4.46 states/eV per cell
# calculated volume: 15.68 A^3/atom



Question: Among the records above, which one has the lowest N(E_F)?
Answer: Al3Zn4